Pm5ErIn2 PBE relaxed; E_form = -211 kJ/mol of formula units; VASP energy = -71.952 eV for the cell shown
1.0
6.9841 0.0000 0.0000
0.0000 13.9697 0.0000
0.0000 0.0000 4.9228
Pm Er In
10 2 4
Cartesian
0.0000 0.0000 0.0000 Pm
0.0046 3.5263 0.0000 Pm
1.7423 12.2381 2.4614 Pm
1.7497 5.2532 2.4614 Pm
3.4874 10.5111 0.0000 Pm
3.4920 6.9848 0.0000 Pm
3.4966 3.4585 0.0000 Pm
5.2343 8.7164 2.4614 Pm
5.2418 1.7316 2.4614 Pm
6.9795 10.4434 0.0000 Pm
0.0000 6.9848 0.0000 Er
3.4920 0.0000 0.0000 Er
1.7189 8.7044 2.4614 In
1.7731 1.7196 2.4614 In
5.2109 12.2501 2.4614 In
5.2652 5.2652 2.4614 In